(1)
The following is a DFT calculation (PBE-GGA) of a relaxed Ni3OsC crystal.

Unit cell a=3.7812 b=3.7812 c=3.7812 alpha=90.00 beta=90.00 gamma=90.00
Last column: nearest neighbours and their distance in Å.
Fractional coordinates of all 5 atoms:
Os1 0.5000 0.5000 0.5000  12 Ni 2.67
C1 0.0000 0.0000 0.0000  6 Ni 1.89
Ni1 0.5000 0.0000 0.0000  2 C 1.89
Ni2 0.0000 0.5000 0.0000  2 C 1.89
Ni3 0.0000 0.0000 0.5000  2 C 1.89

Output
polymorph energy (0 for the lowest one)	0	meV/atom
D(E_F)	1.48	states/eV/atom
calculated total energy	-35.0	eV for the cell shown
formation enthalpy at 0 K	561	meV/atom

(2)
The following is a DFT calculation (PBE-GGA) of a relaxed NiOs2C crystal.

Unit cell a=4.7953 b=4.7953 c=6.1860 alpha=67.20 beta=67.20 gamma=90.00
Last column: nearest neighbours and their distance in Å.
Fractional coordinates of all 8 atoms:
Os1 0.8750 0.8009 0.7500  2 C 1.96
Os2 0.5509 0.1250 0.2500  2 C 1.96
Ni1 0.0000 0.0000 0.0000  4 Os 2.35
Ni2 0.7500 0.2500 0.5000  4 Os 2.35
C1 0.2500 0.7500 0.5000  4 Os 1.96
Os3 0.1991 0.6250 0.2500  2 C 1.96
Os4 0.3750 0.4491 0.7500  2 C 1.96
C2 0.5000 0.5000 0.0000  4 Os 1.96

Output
D(E_F)	1.01	states/eV/atom
calculated total energy	-65.9	eV for the cell shown
formation enthalpy at 0 K	1131	meV/atom

(3)
The following is a DFT calculation (PBE-GGA) of a relaxed Ni2OsC crystal.

Unit cell a=4.2302 b=4.2302 c=6.4633 alpha=70.90 beta=70.90 gamma=90.00
Last column: nearest neighbours and their distance in Å.
Fractional coordinates of all 8 atoms:
Ni1 0.2372 0.6250 0.2500  2 C 1.87
C1 0.5000 0.5000 0.0000  4 Ni 1.87
Ni2 0.5128 0.1250 0.2500  2 C 1.87
Os1 0.0000 0.0000 0.0000  4 Ni 2.35
Ni3 0.3750 0.4872 0.7500  2 C 1.87
C2 0.2500 0.7500 0.5000  4 Ni 1.87
Os2 0.7500 0.2500 0.5000  4 Ni 2.35
Ni4 0.8750 0.7628 0.7500  2 C 1.87

Output
D(E_F)	1.05	states/eV/atom
calculated total energy	-54.1	eV for the cell shown
formation enthalpy at 0 K	1245	meV/atom

(4)
The following is a DFT calculation (PBE-GGA) of a relaxed NiOsRu2C crystal.

Unit cell a=4.4010 b=4.4128 c=4.4010 alpha=90.00 beta=90.00 gamma=90.00
Last column: nearest neighbours and their distance in Å.
Fractional coordinates of all 5 atoms:
C1 0.5000 0.5000 0.5000  4 Os 3.11, 8 Ru 3.12
Ni1 0.0000 0.0000 0.0000  4 Ru 2.20, 2 Os 2.21
Ru1 0.0000 0.0000 0.5000  2 Ni 2.20
Os1 0.0000 0.5000 0.0000  2 Ni 2.21
Ru2 0.5000 0.0000 0.0000  2 Ni 2.20

Output
D(E_F)	1.29	states/eV/atom
calculated total energy	-30.1	eV for the cell shown
formation enthalpy at 0 K	2938	meV/atom

(5)
The following is a DFT calculation (PBE-GGA) of a relaxed NiOsCS2 crystal.

Unit cell a=4.1553 b=4.9289 c=4.1553 alpha=90.00 beta=90.00 gamma=90.00
Last column: nearest neighbours and their distance in Å.
Fractional coordinates of all 5 atoms:
S1 0.0000 0.0000 0.5000  2 Ni 2.08
Ni1 0.0000 0.0000 0.0000  4 S 2.08
C1 0.5000 0.5000 0.5000  4 Os 2.94, 8 S 3.22
Os1 0.0000 0.5000 0.0000  2 Ni 2.46
S2 0.5000 0.0000 0.0000  2 Ni 2.08

Output
D(E_F)	1.07	states/eV/atom
calculated total energy	-22.9	eV for the cell shown
energy relative to the elements, uncorrected	2.313	eV per atom

(6)
The following is a DFT calculation (PBE-GGA) of a relaxed YNi2OsC crystal.

Unit cell a=4.0673 b=4.0673 c=4.0604 alpha=90.00 beta=90.00 gamma=90.00
Last column: nearest neighbours and their distance in Å.
Fractional coordinates of all 5 atoms:
Ni1 0.5000 0.0000 0.0000  2 C 2.03
Os1 0.0000 0.0000 0.5000  2 C 2.03
Ni2 0.0000 0.5000 0.0000  2 C 2.03
C1 0.0000 0.0000 0.0000  2 Os 2.03, 4 Ni 2.03
Y1 0.5000 0.5000 0.5000  8 Ni 2.87, 4 Os 2.88

Output
polymorph energy (0 for the lowest one)	0	meV/atom
D(E_F)	0.54	states/eV/atom
calculated total energy	-39.0	eV for the cell shown
formation enthalpy at 0 K	-102	meV/atom

(7)
The following is a DFT calculation (PBE-GGA) of a relaxed YNi2OsC crystal.

Unit cell a=4.6112 b=3.8963 c=4.6112 alpha=90.00 beta=90.00 gamma=90.00
Last column: nearest neighbours and their distance in Å.
Fractional coordinates of all 5 atoms:
Y1 0.5000 0.5000 0.5000  8 Ni 3.02, 4 C 3.26
C1 0.0000 0.5000 0.0000  2 Os 1.95
Ni1 0.5000 0.0000 0.0000  2 Os 2.31
Os1 0.0000 0.0000 0.0000  2 C 1.95
Ni2 0.0000 0.0000 0.5000  2 Os 2.31

Output
polymorph energy (0 for the lowest one)	572	meV/atom
D(E_F)	0.99	states/eV/atom
calculated total energy	-36.1	eV for the cell shown
formation enthalpy at 0 K	470	meV/atom

(8)
The following is a DFT calculation (PBE-GGA) of a relaxed Y2NiOsC crystal.

Unit cell a=4.9117 b=4.9117 c=3.8557 alpha=90.00 beta=90.00 gamma=90.00
Last column: nearest neighbours and their distance in Å.
Fractional coordinates of all 5 atoms:
Ni1 0.5000 0.5000 0.5000  8 Y 3.12, 4 Os 3.47
Y1 0.0000 0.5000 0.0000  2 C 2.46
Os1 0.0000 0.0000 0.5000  2 C 1.93
C1 0.0000 0.0000 0.0000  2 Os 1.93
Y2 0.5000 0.0000 0.0000  2 C 2.46

Output
polymorph energy (0 for the lowest one)	0	meV/atom
D(E_F)	0.60	states/eV/atom
calculated total energy	-40.4	eV for the cell shown
formation enthalpy at 0 K	-244	meV/atom